This record from the Alexandria database describes a relaxed structure of BaNiTe. The functional is PBE.

Summary:
Energy ... -11.73 eV per cell
Theoretical density ... 5.5 g/cm³

Unit cell a=6.7591 b=6.1919 c=4.3022 alpha=77.91 beta=63.60 gamma=38.49
Last column: nearest neighbours and their distance in Å.
Element x y z (fractional)
Ba1 0.0033 0.0033 0.9967  3 Ni 3.20-3.45, 3 Te 3.32-3.37
Ni1 0.2832 0.2832 0.7168  2 Te 2.49
Te1 0.7134 0.7134 0.2866  2 Ni 2.49

---

This record from the Alexandria database describes a relaxed structure of K2LiMgI6. The functional is PBE.

Summary:
Energy ... -25.59 eV per cell
Theoretical density ... 3.7 g/cm³

Unit cell a=8.3101 b=8.4854 c=7.3020 alpha=64.51 beta=63.95 gamma=62.03
Last column: nearest neighbours and their distance in Å.
Element x y z (fractional)
I1 0.0261 0.5220 0.3406  1 Li 2.96, 1 Mg 2.98
I2 0.6182 0.1292 0.7478  1 Li 2.91, 1 Mg 2.93
I3 0.4980 0.6874 0.7748  1 Mg 2.82
I4 0.0262 0.5219 0.8465  1 Li 2.96, 1 Mg 2.98
I5 0.1420 0.9599 0.3167  1 Li 2.79, 1 Mg 3.05
I6 0.6182 0.1291 0.2404  1 Li 2.91, 1 Mg 2.93
K1 0.0731 0.0755 0.7932  7 I 3.52-3.79
K2 0.5641 0.5651 0.3027  7 I 3.53-3.81
Li1 0.2922 0.2473 0.0981  5 I 2.79-2.96
Mg1 0.8035 0.8243 0.5543  6 I 2.82-3.05